## La4O (PBE)

Data for an optimized crystal structure of La4O.

a = 5.2003 Å, b = 5.2003 Å, c = 5.2003 Å
α = 90.00°, β = 90.00°, γ = 90.00°
Space group Pm-3m (No. 221)
Unique sites:
La (0.0000, 0.0000, 0.0000)
La (0.0000, 0.5000, 0.5000)
O (0.5000, 0.5000, 0.5000)

Computed properties:
V = 28.13 Å³/atom
E_tot = -6.066 eV per atom
formation energy from raw total energies = -109 kJ/mol of atoms